1.
## IrRhPb2 (PBE-GGA)

Data for a geometry-optimized IrRhPb2 structure.

Results
The distance to the lowest polymorph of the same formula comes out at 488 meV per atom. The space group is I-42d (122). The formation energy from the elements comes out at 684.5 meV per atom.

abc: 7.495 7.495 7.495
angles: 131.65 131.65 70.78
Element x y z (fractional)
Ir 0.000 0.000 0.000
Ir 0.750 0.250 0.500
Rh 0.250 0.750 0.500
Rh 0.500 0.500 0.000
Pb 0.125 0.625 0.000
Pb 0.375 0.375 0.500
Pb 0.625 0.125 0.000
Pb 0.875 0.875 0.500



2.
## LuZrPt (PBE-GGA)

Data for a geometry-optimized LuZrPt structure.

Results
The space group is F-43m (216). The formation energy from the elements comes out at -697.6 meV per atom.

abc: 4.679 4.679 4.679
angles: 60.00 60.00 60.00
Element x y z (fractional)
Lu 0.000 0.000 0.000
Zr 0.500 0.500 0.500
Pt 0.750 0.750 0.750



3.
## Y2ErH8 (PBE-GGA)

Data for a geometry-optimized Y2ErH8 structure.

Results
The space group is Immm (71). The value obtained for the uncorrected energy is -4.6519 eV per atom.

abc: 6.279 6.279 6.279
angles: 146.42 131.95 59.89
Element x y z (fractional)
Y 0.168 0.168 0.000
Y 0.832 0.832 0.000
Er 0.500 0.500 0.000
H 0.082 0.341 0.742
H 0.235 0.000 0.235
H 0.341 0.841 0.500
H 0.401 0.659 0.742
H 0.599 0.341 0.258
H 0.659 0.159 0.500
H 0.765 0.000 0.765
H 0.918 0.659 0.258



4.
## Tb3Sm3Sc2 (PBE-GGA)

Data for a geometry-optimized Tb3Sm3Sc2 structure.

Results
The distance to the lowest polymorph of the same formula comes out at 41 meV per atom. The space group is C2/m (12). The formation energy from the elements comes out at 80.7 meV per atom.

abc: 8.834 8.834 5.682
angles: 108.12 108.12 36.23
Element x y z (fractional)
Tb 0.000 0.000 0.000
Tb 0.139 0.139 0.597
Tb 0.861 0.861 0.403
Sm 0.360 0.360 0.813
Sm 0.500 0.500 0.500
Sm 0.640 0.640 0.187
Sc 0.250 0.250 0.189
Sc 0.750 0.750 0.811



Number 1: density 10235 kg/m³. Number 2: density 10574 kg/m³. Number 3: density 5811 kg/m³. Number 4: density 6823 kg/m³.